The following is a PBE-GGA calculation of K3HoTm2Te6 after structural relaxation, from Alexandria.

```
K3HoTm2Te6
1.0
-3.8825 -3.9983 -5.3523
6.7356 -2.6688 2.6862
-4.9387 -1.8625 6.8316
Te Ho K Tm
6 1 3 2
Direct
0.2665 0.2665 0.7937
0.0688 0.4040 0.2065
0.7335 0.7335 0.2063
0.4040 0.0688 0.2065
0.9312 0.5960 0.7935
0.5960 0.9312 0.7935
0.0000 0.0000 0.0000
0.8339 0.1661 0.5000
0.5000 0.5000 0.5000
0.1661 0.8339 0.5000
0.3333 0.6667 0.0000
0.6667 0.3333 0.0000
```

Output
Its volume is 426.07 Å³/cell. The energy relative to the elements, uncorrected is -1.3776 eV/atom. As for the crystal system: monoclinic. The space group is No. 12.

The following is a PBE-GGA calculation of PaNb5Tc6 after structural relaxation, from Alexandria.

```
PaNb5Tc6
1.0
-4.4426 -0.9948 0.0576
0.4206 -2.2302 -6.0745
3.4457 -4.6554 5.4090
Tc Nb Pa
6 5 1
Direct
0.8320 0.0814 0.6639
0.5000 0.7484 0.0000
0.1680 0.4175 0.3361
0.8320 0.5825 0.6639
0.1680 0.9186 0.3361
0.5000 0.2516 0.0000
0.3351 0.3351 0.6702
0.6649 0.6649 0.3298
0.0000 0.5000 0.0000
0.6764 0.1764 0.3528
0.3236 0.8236 0.6472
0.0000 0.0000 0.0000
```

Output
Its volume is 202.64 Å³/cell. As for the crystal system: orthorhombic. The space group is No. 71. The energy relative to the elements comes out at -0.30 eV/atom.

The following is a PBE-GGA calculation of TlCo2W after structural relaxation, from Alexandria.

```
TlCo2W
1.0
-1.1068 -3.8726 -5.5759
1.9145 -5.5982 3.5081
-2.2459 -5.1371 -0.2289
Co W Tl
4 2 2
Direct
0.5800 0.1250 0.2500
0.3750 0.4200 0.7500
0.1700 0.6250 0.2500
0.8750 0.8300 0.7500
0.5000 0.5000 0.0000
0.2500 0.7500 0.5000
0.0000 0.0000 0.0000
0.7500 0.2500 0.5000
```

Output
Its volume is 132.40 Å³/cell. As for the crystal system: tetragonal. The space group is No. 122. The offset from the most stable computed form comes out at 520.6 meV/atom. The energy relative to the elements comes out at 0.87 eV/atom.